[1]
VASP calculation (PBE) on a relaxed structure of MgZrRu2.

Summary:
- SG: No. 216

Structure (POSCAR):
```
MgZrRu2
1.0
4.555 0.000 0.000
2.277 3.945 0.000
2.277 1.315 3.719
Mg Ru Zr
1 2 1
direct
0.500 0.500 0.500
0.250 0.250 0.250
0.000 0.000 0.000
0.750 0.750 0.750
```

=====

[2]
VASP calculation (PBE) on a relaxed structure of MgZrRu.

Summary:
- Excess energy over the best structure of this formula in the dataset: 76.69 kJ/mol of atoms
- SG: No. 216

Structure (POSCAR):
```
MgZrRu
1.0
4.512 0.000 0.000
2.256 3.907 0.000
2.256 1.302 3.684
Zr Ru Mg
1 1 1
direct
0.750 0.750 0.750
0.500 0.500 0.500
0.000 0.000 0.000
```

=====

ΔH_f (0 K) (eV per formula unit)
0.5, 1.6
Volume (A^3/atom)
16.705, 21.646